## Li2ZrF6 (SCAN)

Data for Li2ZrF6 at its PBEsol-relaxed geometry.

Calculated values
VASP energy (eV for the cell shown): -358.68
Formation energy without anion corrections (meV/atom): -3661

Lattice parameters (Å, degrees): 7.3977 4.9213 10.9219 90.00 107.21 90.00
With the nearest neighbours (Å) after each atom.
Element x y z (fractional)
Li (0.0372, 0.0323, 0.1610)  4 F 1.90-1.99
Li (0.0372, 0.4677, 0.6610)  4 F 1.90-1.99
Li (0.4097, 0.0015, 0.8059)  5 F 1.91-2.11
Li (0.4097, 0.4985, 0.3059)  5 F 1.91-2.11
Li (0.5903, 0.5015, 0.6941)  5 F 1.91-2.11
Li (0.5903, 0.9985, 0.1941)  5 F 1.91-2.11
Li (0.9628, 0.5323, 0.3390)  4 F 1.90-1.99
Li (0.9628, 0.9677, 0.8390)  4 F 1.90-1.99
Zr (0.2537, 0.0144, 0.5009)  7 F 2.02-2.23
Zr (0.2537, 0.4856, 0.0009)  7 F 2.02-2.23
Zr (0.7463, 0.5144, 0.9991)  7 F 2.02-2.23
Zr (0.7463, 0.9856, 0.4991)  7 F 2.02-2.23
F (0.0439, 0.7267, 0.0434)  1 Li 1.99, 1 Zr 2.11
F (0.0439, 0.7733, 0.5434)  1 Li 1.99, 1 Zr 2.11
F (0.1020, 0.6355, 0.8247)  2 Li 1.90-1.96, 1 Zr 2.06
F (0.1020, 0.8645, 0.3247)  2 Li 1.90-1.96, 1 Zr 2.06
F (0.2472, 0.1399, 0.9004)  1 Li 1.93, 1 Zr 2.02
F (0.2472, 0.3601, 0.4004)  1 Li 1.93, 1 Zr 2.02
F (0.2508, 0.2460, 0.6537)  2 Li 1.94-2.11, 1 Zr 2.03
F (0.2508, 0.2540, 0.1537)  2 Li 1.94-2.11, 1 Zr 2.03
F (0.3978, 0.7271, 0.1535)  2 Li 1.91-1.99, 1 Zr 2.07
F (0.3978, 0.7729, 0.6535)  2 Li 1.91-1.99, 1 Zr 2.07
F (0.4550, 0.6847, 0.9264)  1 Li 2.00, 2 Zr 2.13-2.23
F (0.4550, 0.8153, 0.4264)  1 Li 2.00, 2 Zr 2.13-2.23
F (0.5450, 0.1847, 0.5736)  1 Li 2.00, 2 Zr 2.13-2.23
F (0.5450, 0.3153, 0.0736)  1 Li 2.00, 2 Zr 2.13-2.23
F (0.6022, 0.2271, 0.3465)  2 Li 1.91-1.99, 1 Zr 2.07
F (0.6022, 0.2729, 0.8465)  2 Li 1.91-1.99, 1 Zr 2.07
F (0.7492, 0.7460, 0.8463)  2 Li 1.94-2.11, 1 Zr 2.03
F (0.7492, 0.7540, 0.3463)  2 Li 1.94-2.11, 1 Zr 2.03
F (0.7528, 0.6399, 0.5996)  1 Li 1.93, 1 Zr 2.02
F (0.7528, 0.8601, 0.0996)  1 Li 1.93, 1 Zr 2.02
F (0.8980, 0.1355, 0.6753)  2 Li 1.90-1.96, 1 Zr 2.06
F (0.8980, 0.3645, 0.1753)  2 Li 1.90-1.96, 1 Zr 2.06
F (0.9561, 0.2267, 0.4566)  1 Li 1.99, 1 Zr 2.11
F (0.9561, 0.2733, 0.9566)  1 Li 1.99, 1 Zr 2.11



## BaCaPb (SCAN)

Data for BaCaPb at its PBEsol-relaxed geometry.

Calculated values
VASP energy (eV for the cell shown): -125.90
Energy of formation from the pure elements (meV per atom): -300

Lattice parameters (Å, degrees): 4.0139 4.0139 8.6016 90.00 90.00 120.00
With the nearest neighbours (Å) after each atom.
Element x y z (fractional)
Ba (0.0000, 0.0000, 0.0000)  3 Pb 3.51
Ca (0.3333, 0.6667, 0.5740)  3 Pb 3.26
Pb (0.6667, 0.3333, 0.3070)  3 Ca 3.26, 3 Ba 3.51



## KZnReH2 (SCAN)

Data for KZnReH2 at its PBEsol-relaxed geometry.

Calculated values
VASP energy (eV for the cell shown): -90.26

Lattice parameters (Å, degrees): 3.8166 3.8166 5.5558 90.00 90.00 90.00
With the nearest neighbours (Å) after each atom.
Element x y z (fractional)
K (0.0000, 0.0000, 0.0000)  4 H 1.91
Zn (0.0000, 0.0000, 0.5000)  4 Re 2.70, 2 K 2.78
Re (0.5000, 0.5000, 0.5000)  4 Zn 2.70
H (0.0000, 0.5000, 0.0000)  2 K 1.91
H (0.5000, 0.0000, 0.0000)  2 K 1.91



## ZnH2Br2 (SCAN)

Data for ZnH2Br2 at its PBEsol-relaxed geometry.

Calculated values
VASP energy (eV for the cell shown): -56.40

Lattice parameters (Å, degrees): 6.3534 6.3534 6.3534 147.27 147.27 46.97
With the nearest neighbours (Å) after each atom.
Element x y z (fractional)
Zn (0.0000, 0.0000, 0.0000)  8 Br 3.10, 8 H 3.42
H (0.2500, 0.7500, 0.5000)  4 Br 2.12
H (0.7500, 0.2500, 0.5000)  4 Br 2.12
Br (0.3470, 0.3470, 0.0000)  4 H 2.12
Br (0.6530, 0.6530, 0.0000)  4 H 2.12